Record 1
Here is crystalline Sr2HoUP4 at its relaxed geometry from Alexandria. Energies are from PBE.

POSCAR file:
```
Sr2HoUP4
1.0
7.101 0.000 0.000
0.000 4.147 0.000
-2.366 0.000 6.927
Sr Ho U P
2 1 1 4
Cartesian
0.000 0.000 0.000 Sr
3.550 2.073 0.000 Sr
-1.183 2.073 3.464 Ho
2.367 0.000 3.464 U
0.088 0.000 4.953 P
1.241 2.073 1.997 P
3.493 2.073 4.931 P
4.647 0.000 1.975 P
```

Calculated values
total magnetization: 1.0 μB per formula unit
symmetry: P2/m (10)
crystal system: monoclinic
calculated formation energy: -1185 meV per atom
mass density: 5.72 g/cm3

Record 2
Here is crystalline Sr2ZnHgPt at its relaxed geometry from Alexandria. Energies are from PBE.

POSCAR file:
```
Sr2ZnHgPt
1.0
5.812 0.000 0.000
0.000 5.812 0.000
0.000 0.000 4.912
Sr Zn Hg Pt
2 1 1 1
Cartesian
0.000 2.906 0.000 Sr
2.906 0.000 0.000 Sr
0.000 0.000 2.456 Zn
2.906 2.906 2.456 Hg
0.000 0.000 0.000 Pt
```

Calculated values
total magnetization: 0.0 μB per formula unit
symmetry: P4/mmm (123)
crystal system: tetragonal
calculated formation energy: -491 meV per atom
mass density: 6.37 g/cm3

Record 3
Here is crystalline Er2TmBi at its relaxed geometry from Alexandria. Energies are from PBE.

POSCAR file:
```
Er2TmBi
1.0
2.315 -11.135 0.000
2.315 11.135 0.000
0.000 0.000 4.571
Er Tm Bi
4 2 2
Cartesian
2.315 9.822 3.428 Er
2.315 1.340 3.428 Er
2.315 -1.340 1.143 Er
2.315 -9.822 1.143 Er
2.315 4.205 1.143 Tm
2.315 -4.205 3.428 Tm
2.315 7.348 1.143 Bi
2.315 -7.348 3.428 Bi
```

Calculated values
total magnetization: 0.0 μB per formula unit
symmetry: Cmcm (63)
energy above the most stable polymorph in this dataset: 0 meV/atom
crystal system: orthorhombic
calculated formation energy: -381 meV per atom
mass density: 10.04 g/cm3